Below is a relaxed structure of InSnH2Au, with properties calculated at the PBE level.

The value obtained for the total energy is -3.213 eV/atom. The density of states at the Fermi level comes out at 0.84 states/eV per cell.

It has space group P4/mmm (No. 123), with a = 3.994 Å, b = 3.994 Å, c = 5.655 Å, α = 90.00°, β = 90.00° and γ = 90.00°. The distinct sites, in fractional coordinates, are In at (0.000, 0.000, 0.000), Sn at (0.500, 0.500, 0.500), H at (0.000, 0.500, 0.500) and Au at (0.500, 0.500, 0.000).



Below is a relaxed structure of CeSm2Ag3, with properties calculated at the PBE level.

The value obtained for the total energy is -4.188 eV/atom. The density of states at the Fermi level comes out at 10.04 states/eV per cell.

It has space group P4/mmm (No. 123), with a = 3.677 Å, b = 3.677 Å, c = 11.400 Å, α = 90.00°, β = 90.00° and γ = 90.00°. The distinct sites, in fractional coordinates, are Ce at (0.000, 0.000, 0.000), Sm at (0.000, 0.000, 0.335), Ag at (0.500, 0.500, 0.175) and Ag at (0.500, 0.500, 0.500).



Below is a relaxed structure of Rb12Sn2As6O, with properties calculated at the PBE level.

As for the formation energy (no corrections): -0.49 eV/atom.

It has space group P-3m1 (No. 164), with a = 11.9662 Å, b = 11.9662 Å, c = 6.1472 Å, α = 90.00°, β = 90.00° and γ = 120.00°. The distinct sites, in fractional coordinates, are Rb at (0.0874, 0.5437, 0.2484), Rb at (0.1159, 0.2318, 0.2735), Sn at (0.3333, 0.6667, 0.7521), As at (0.2093, 0.4186, 0.7569) and O at (0.0000, 0.0000, 0.5000).



Below is a relaxed structure of KBa2SiPt, with properties calculated at the PBE level.

As for the formation energy (no corrections): -0.31 eV/atom. The density of states at the Fermi level comes out at 3.41 states/eV per cell.

It has space group P4/mmm (No. 123), with a = 6.433 Å, b = 6.433 Å, c = 4.712 Å, α = 90.00°, β = 90.00° and γ = 90.00°. The distinct sites, in fractional coordinates, are K at (0.000, 0.000, 0.000), Ba at (0.000, 0.500, 0.500), Si at (0.500, 0.500, 0.000) and Pt at (0.500, 0.500, 0.500).



| no. | M_tot (μB/atom) |
| --- | --- |
| 1 | 0.00 |
| 2 | 0.20 |
| 3 | 0.00 |
| 4 | 0.00 |